No. 1
DFT (GGA-PBE) results for crystalline Sc2AlRu2 at its relaxed geometry.

Properties
Mass density: 5.3 Mg/m³
ΔE_f: 0.03 eV/atom
Magnetic moment: 0.00 μB/cell

CIF file:
```
data_Sc2AlRu2
_chemical_formula_sum 'Sc4 Al2 Ru4'
_symmetry_space_group_name_H-M 'I 4/m m m'
_symmetry_Int_Tables_number 139
_symmetry_space_group_name_Hall '-I 4 2'
_cell_length_a 3.4783
_cell_length_b 3.4783
_cell_length_c 16.4306
_cell_angle_alpha 90.00
_cell_angle_beta 90.00
_cell_angle_gamma 90.00
loop_
_atom_site_label
_atom_site_type_symbol
_atom_site_fract_x
_atom_site_fract_y
_atom_site_fract_z
Sc1 Sc 0.0000 0.0000 0.1110
Al1 Al 0.0000 0.0000 0.5000
Ru1 Ru 0.0000 0.5000 0.2500
```

No. 2
DFT (GGA-PBE) results for crystalline ScAl2Ru3 at its relaxed geometry.

Properties
Mass density: 7.6 Mg/m³
ΔE_f: -0.61 eV/atom
Magnetic moment: 0.00 μB/cell

CIF file:
```
data_ScAl2Ru3
_chemical_formula_sum 'Sc2 Al4 Ru6'
_symmetry_space_group_name_H-M 'C m m m'
_symmetry_Int_Tables_number 65
_symmetry_space_group_name_Hall '-C 2 2'
_cell_length_a 4.3323
_cell_length_b 13.0414
_cell_length_c 3.1030
_cell_angle_alpha 90.00
_cell_angle_beta 90.00
_cell_angle_gamma 90.00
loop_
_atom_site_label
_atom_site_type_symbol
_atom_site_fract_x
_atom_site_fract_y
_atom_site_fract_z
Sc1 Sc 0.0000 0.0000 0.0000
Al1 Al 0.0000 0.3380 0.0000
Ru1 Ru 0.0000 0.1781 0.5000
Ru2 Ru 0.0000 0.5000 0.5000
```

No. 3
DFT (GGA-PBE) results for crystalline Sc2AlRu2 at its relaxed geometry.

Properties
Mass density: 6.1 Mg/m³
ΔE_f: -0.16 eV/atom
Magnetic moment: 0.00 μB/cell

CIF file:
```
data_Sc2AlRu2
_chemical_formula_sum 'Sc4 Al2 Ru4'
_symmetry_space_group_name_H-M 'P 4/m b m'
_symmetry_Int_Tables_number 127
_symmetry_space_group_name_Hall '-P 4 2ab'
_cell_length_a 7.4749
_cell_length_b 7.4749
_cell_length_c 3.1040
_cell_angle_alpha 90.00
_cell_angle_beta 90.00
_cell_angle_gamma 90.00
loop_
_atom_site_label
_atom_site_type_symbol
_atom_site_fract_x
_atom_site_fract_y
_atom_site_fract_z
Sc1 Sc 0.1348 0.3652 0.0000
Al1 Al 0.0000 0.0000 0.0000
Ru1 Ru 0.1738 0.6738 0.5000
```

No. 4
DFT (GGA-PBE) results for crystalline Sc5AlRu4 at its relaxed geometry.

Properties
Mass density: 6.4 Mg/m³
ΔE_f: -0.57 eV/atom
Magnetic moment: 0.00 μB/cell

CIF file:
```
data_Sc5AlRu4
_chemical_formula_sum 'Sc5 Al1 Ru4'
_symmetry_space_group_name_H-M 'P 4/m m m'
_symmetry_Int_Tables_number 123
_symmetry_space_group_name_Hall '-P 4 2'
_cell_length_a 3.2514
_cell_length_b 3.2514
_cell_length_c 16.2150
_cell_angle_alpha 90.00
_cell_angle_beta 90.00
_cell_angle_gamma 90.00
loop_
_atom_site_label
_atom_site_type_symbol
_atom_site_fract_x
_atom_site_fract_y
_atom_site_fract_z
Sc1 Sc 0.0000 0.0000 0.0000
Sc2 Sc 0.0000 0.0000 0.1942
Sc3 Sc 0.0000 0.0000 0.3865
Al1 Al 0.5000 0.5000 0.5000
Ru1 Ru 0.5000 0.5000 0.0992
Ru2 Ru 0.5000 0.5000 0.2990
```